VASP calculation (PBE+U) on crystalline ZnCoO2 at its relaxed geometry.

Uncorrected energy = -5.30 eV per atom
Symmetry = No. 31

a = 3.2579 Å, b = 6.5316 Å, c = 4.6339 Å
α = 90.00°, β = 90.00°, γ = 90.00°
Fractional coordinates of all 8 atoms:
Zn  0.0000  0.1264  0.0000
Zn  0.5000  0.8736  0.5000
Co  0.0000  0.6252  0.0004
Co  0.5000  0.3748  0.5004
O  0.0000  0.3759  0.2501
O  0.0000  0.8754  0.2484
O  0.5000  0.1246  0.7484
O  0.5000  0.6241  0.7501